Computed, not measured: crystalline Ta6PtN at its relaxed geometry at the PBE-GGA level of DFT.

Output
- Formation energy (no corrections): -0.407 eV/atom
- DOS at the Fermi energy: 6.58 states/eV per cell
- Electronic total energy: -11.09 eV per atom
- Space group: P-1, No. 2

Cell lengths 4.934, 5.295, 5.366 Å; angles 98.18, 107.65, 94.47 degrees
Positions (direct):
Ta: 0.064 0.288 0.140
Ta: 0.218 0.852 0.441
Ta: 0.387 0.406 0.731
Ta: 0.613 0.594 0.269
Ta: 0.782 0.148 0.559
Ta: 0.936 0.712 0.860
Pt: 0.500 0.000 0.000
N: 0.000 0.500 0.500